(1)
This record from the Alexandria database describes ScBeRh2 at its PBEsol-relaxed geometry. The functional is SCAN.

a b c (Å): 2.989 2.989 5.939
angles (deg): 90.00 90.00 90.00
Atoms (fractional coordinates):
Sc: 0.500 0.500 0.000
Be: 0.500 0.500 0.500
Rh: 0.000 0.000 0.720
Rh: 0.000 0.000 0.280

## Properties
The calculation puts the final energy at -89.7 eV for the cell shown.



(2)
This record from the Alexandria database describes ScBe2Rh at its PBEsol-relaxed geometry. The functional is SCAN.

a b c (Å): 3.618 3.618 3.934
angles (deg): 90.00 90.00 90.00
Atoms (fractional coordinates):
Sc: 0.000 0.000 0.500
Be: 0.000 0.500 0.000
Be: 0.500 0.000 0.000
Rh: 0.500 0.500 0.500

## Properties
The excess energy over the best structure of this formula in the dataset is 0.810 eV/f.u. The calculation puts the final energy at -57.9 eV for the cell shown.



(3)
This record from the Alexandria database describes BeRhSe at its PBEsol-relaxed geometry. The functional is SCAN.

a b c (Å): 3.879 3.879 3.879
angles (deg): 60.00 60.00 60.00
Atoms (fractional coordinates):
Be: 0.250 0.250 0.250
Rh: 0.000 0.000 0.000
Se: 0.500 0.500 0.500

## Properties
The calculation puts the uncorrected formation energy at -63 meV per atom. The excess energy over the best structure of this formula in the dataset is 0.000 eV/f.u. The calculation puts the final energy at -58.4 eV for the cell shown.



(4)
This record from the Alexandria database describes BeRhSe at its PBEsol-relaxed geometry. The functional is SCAN.

a b c (Å): 3.233 3.845 3.845
angles (deg): 120.00 90.00 90.00
Atoms (fractional coordinates):
Be: 0.835 0.000 0.000
Rh: 0.833 0.333 0.667
Se: 0.332 0.667 0.333

## Properties
The calculation puts the uncorrected formation energy at 32 meV per atom. The excess energy over the best structure of this formula in the dataset is 0.285 eV/f.u. The calculation puts the final energy at -58.1 eV for the cell shown.



(5)
This record from the Alexandria database describes Be2RhSe at its PBEsol-relaxed geometry. The functional is SCAN.

a b c (Å): 3.283 3.976 4.464
angles (deg): 116.45 111.58 90.00
Atoms (fractional coordinates):
Be: 0.746 0.746 0.492
Be: 0.254 0.254 0.508
Rh: 0.500 0.000 0.000
Se: 0.000 0.500 0.000

## Properties
The calculation puts the uncorrected formation energy at -26 meV per atom. The calculation puts the final energy at -62.7 eV for the cell shown.



(6)
This record from the Alexandria database describes Be2RhSe at its PBEsol-relaxed geometry. The functional is SCAN.

a b c (Å): 2.886 4.005 5.198
angles (deg): 94.07 90.00 111.12
Atoms (fractional coordinates):
Be: 0.063 0.126 0.897
Be: 0.774 0.548 0.726
Rh: 0.482 0.964 0.585
Se: 0.181 0.362 0.292

## Properties
The calculation puts the uncorrected formation energy at -224 meV per atom. The calculation puts the final energy at -63.5 eV for the cell shown.



(7)
This record from the Alexandria database describes Be2RhSe at its PBEsol-relaxed geometry. The functional is SCAN.

a b c (Å): 5.389 5.695 5.389
angles (deg): 61.76 90.00 118.24
Atoms (fractional coordinates):
Be: 0.125 0.750 0.875
Be: 0.625 0.750 0.375
Be: 0.375 0.250 0.125
Be: 0.875 0.250 0.625
Rh: 0.750 0.500 0.750
Rh: 0.000 0.000 0.000
Se: 0.250 0.500 0.250
Se: 0.500 0.000 0.500

## Properties
The calculation puts the uncorrected formation energy at 109 meV per atom. The calculation puts the final energy at -124.2 eV for the cell shown.



(8)
This record from the Alexandria database describes SrBeRh2Se at its PBEsol-relaxed geometry. The functional is SCAN.

a b c (Å): 4.286 4.286 4.713
angles (deg): 90.00 90.00 90.00
Atoms (fractional coordinates):
Sr: 0.500 0.500 0.500
Rh: 0.000 0.500 0.000
Rh: 0.500 0.000 0.000
Se: 0.000 0.000 0.500
Be: 0.000 0.000 0.000

## Properties
The calculation puts the uncorrected formation energy at -202 meV per atom. The calculation puts the final energy at -115.3 eV for the cell shown.



(9)
This record from the Alexandria database describes Be2SiRh at its PBEsol-relaxed geometry. The functional is SCAN.

a b c (Å): 3.440 3.440 4.303
angles (deg): 113.56 113.56 90.00
Atoms (fractional coordinates):
Be: 0.500 0.500 0.000
Be: 0.750 0.250 0.500
Si: 0.250 0.750 0.500
Rh: 0.000 0.000 0.000

## Properties
The calculation puts the uncorrected formation energy at -516 meV per atom. The excess energy over the best structure of this formula in the dataset is 0.000 eV/f.u. The calculation puts the final energy at -54.6 eV for the cell shown.



(10)
This record from the Alexandria database describes BeSiRh4 at its PBEsol-relaxed geometry. The functional is SCAN.

a b c (Å): 4.969 4.969 4.969
angles (deg): 60.00 60.00 60.00
Atoms (fractional coordinates):
Be: 0.000 0.000 0.000
Rh: 0.375 0.375 0.375
Rh: 0.375 0.375 0.875
Rh: 0.875 0.375 0.375
Rh: 0.375 0.875 0.375
Si: 0.750 0.750 0.750

## Properties
The calculation puts the uncorrected formation energy at 456 meV per atom. The calculation puts the final energy at -146.7 eV for the cell shown.



(11)
This record from the Alexandria database describes BeSi3Rh at its PBEsol-relaxed geometry. The functional is SCAN.

a b c (Å): 4.536 4.536 4.536
angles (deg): 90.00 90.00 90.00
Atoms (fractional coordinates):
Be: 0.500 0.500 0.500
Si: 0.000 0.500 0.000
Si: 0.000 0.000 0.500
Si: 0.500 0.000 0.000
Rh: 0.000 0.000 0.000

## Properties
The calculation puts the uncorrected formation energy at 834 meV per atom. The calculation puts the final energy at -64.0 eV for the cell shown.



(12)
This record from the Alexandria database describes BeSiRh at its PBEsol-relaxed geometry. The functional is SCAN.

a b c (Å): 3.849 3.849 3.849
angles (deg): 60.00 60.00 60.00
Atoms (fractional coordinates):
Be: 0.500 0.500 0.500
Si: 0.000 0.000 0.000
Rh: 0.250 0.250 0.250

## Properties
The calculation puts the uncorrected formation energy at -467 meV per atom. The excess energy over the best structure of this formula in the dataset is 0.635 eV/f.u. The calculation puts the final energy at -49.5 eV for the cell shown.



- Among the records above, which one has the lowest final energy?
  BeSiRh4



- Which value of final energy does entry 6 give?
  -63.5 eV for the cell shown



- The highest final energy belongs to which entry?
  BeSiRh